(1)
TbSm6Ag: optimized geometry, PBE.

Values from the calculation:
formation energy	0.3	eV/f.u.
magnetic moment	0.0	μB per cell

a b c (Å): 8.566 9.463 6.382
angles (deg): 42.16 47.83 56.45
Atoms (fractional coordinates):
Tb  0.500  0.500  0.500
Sm  0.954  0.568  0.716
Sm  0.762  0.955  0.852
Sm  0.568  0.238  0.240
Sm  0.238  0.045  0.148
Sm  0.046  0.432  0.284
Sm  0.432  0.762  0.760
Ag  0.000  0.000  0.000

(2)
Sr6Hg2O: optimized geometry, PBE.

Values from the calculation:
E_form (uncorrected)	-809.5	meV/atom
magnetic moment	0.0	μB per cell

a b c (Å): 7.407 8.229 10.600
angles (deg): 90.00 87.44 90.00
Atoms (fractional coordinates):
Sr  0.108  0.024  0.265
Sr  0.162  0.295  0.553
Sr  0.199  0.329  0.950
Sr  0.301  0.829  0.550
Sr  0.338  0.795  0.947
Sr  0.392  0.524  0.235
Sr  0.892  0.976  0.735
Sr  0.838  0.705  0.447
Sr  0.801  0.671  0.050
Sr  0.699  0.171  0.450
Sr  0.662  0.205  0.053
Sr  0.608  0.476  0.765
Hg  0.038  0.598  0.750
Hg  0.462  0.098  0.750
Hg  0.538  0.902  0.250
Hg  0.962  0.402  0.250
O  0.500  0.500  0.000
O  0.000  0.000  0.500

(3)
Dy3Zn2Cd2: optimized geometry, PBE.

Values from the calculation:
formation energy	-1.7	eV/f.u.
magnetic moment	0.0	μB per cell

a b c (Å): 5.869 5.866 8.249
angles (deg): 108.05 95.84 135.22
Atoms (fractional coordinates):
Dy  0.000  0.000  0.000
Dy  0.274  0.002  0.637
Dy  0.726  0.998  0.363
Zn  0.464  0.282  0.372
Zn  0.536  0.718  0.628
Cd  0.835  0.456  0.145
Cd  0.165  0.544  0.855

(4)
AgTe3Pt: optimized geometry, PBE.

Values from the calculation:
E_form (uncorrected)	1080.8	meV/atom
magnetic moment	0.0	μB per cell

a b c (Å): 5.316 5.316 5.316
angles (deg): 90.00 90.00 90.00
Atoms (fractional coordinates):
Te  0.000  0.500  0.000
Te  0.000  0.000  0.500
Te  0.500  0.000  0.000
Ag  0.000  0.000  0.000
Pt  0.500  0.500  0.500

(5)
KMnBr2: optimized geometry, PBE.

Values from the calculation:
E_form (uncorrected)	-495.7	meV/atom
magnetic moment	5.9	μB per cell

a b c (Å): 5.495 5.495 5.495
angles (deg): 60.00 60.00 60.00
Atoms (fractional coordinates):
K  0.000  0.000  0.000
Mn  0.500  0.500  0.500
Br  0.250  0.250  0.250
Br  0.750  0.750  0.750

(6)
BeTlPtW2: optimized geometry, PBE.

Values from the calculation:
formation energy	4.0	eV/f.u.
magnetic moment	0.0	μB per cell

a b c (Å): 4.348 4.298 4.348
angles (deg): 90.00 90.00 90.00
Atoms (fractional coordinates):
Be  0.000  0.000  0.000
Tl  0.500  0.500  0.500
W  0.000  0.000  0.500
W  0.500  0.000  0.000
Pt  0.000  0.500  0.000